# 1
CrCuBi3 | PBE | optimized geometry

a b c (Å): 5.196 5.196 5.196
angles (deg): 90.00 90.00 90.00
Positions (direct):
1 Cr 0.000 0.000 0.000
2 Cu 0.500 0.500 0.500
3 Bi 0.000 0.000 0.500
4 Bi 0.000 0.500 0.000
5 Bi 0.500 0.000 0.000

Calculated values
Total magnetic moment, μB/atom: 0.342
E above lowest polymorph, meV/atom: 0
Space group: No. 221
Calculated formation energy, eV per atom: 0.7294


# 2
CrCuBi2 | PBE | optimized geometry

a b c (Å): 7.608 7.608 6.602
angles (deg): 90.00 90.00 90.00
Positions (direct):
1 Cr 0.000 0.000 0.000
2 Cr 0.000 0.500 0.250
3 Cr 0.500 0.000 0.750
4 Cr 0.500 0.500 0.500
5 Cu 0.000 0.000 0.500
6 Cu 0.000 0.500 0.750
7 Cu 0.500 0.000 0.250
8 Cu 0.500 0.500 0.000
9 Bi 0.228 0.750 0.625
10 Bi 0.250 0.228 0.375
11 Bi 0.250 0.272 0.875
12 Bi 0.272 0.750 0.125
13 Bi 0.728 0.250 0.125
14 Bi 0.750 0.728 0.875
15 Bi 0.750 0.772 0.375
16 Bi 0.772 0.250 0.625

Calculated values
Total magnetic moment, μB/atom: 0.923
E above lowest polymorph, meV/atom: 85
Space group: No. 122
Calculated formation energy, eV per atom: 0.5139